Entry 1:
First-principles (PBE) data for MgCoCu2 after structural relaxation, as listed in Alexandria.

```
4
Lattice="-3.973 -0.944 -2.033 -0.370 -4.509 -0.579 1.011 2.520 3.665" Properties=species:S:1:pos:R:3 pbc="T T T"
Co -0.764 -2.357 0.890
Cu 0.000 0.000 0.000
Cu -2.567 -0.575 0.162
Mg -2.171 -2.726 -1.306
```

DFT formation energy (meV per atom): 98



Entry 2:
First-principles (PBE) data for NaUCoS4 after structural relaxation, as listed in Alexandria.

```
14
Lattice="-0.293 4.973 4.189 -4.249 2.123 -2.818 -4.914 -5.886 2.973" Properties=species:S:1:pos:R:3 pbc="T T T"
Na -8.038 -0.379 3.715
Na -1.418 1.590 0.629
U -5.581 2.647 2.292
U -3.874 -1.437 2.052
Co -4.872 0.829 -0.148
Co -4.584 0.381 4.492
S -5.729 -3.053 0.796
S -1.704 3.252 4.890
S -3.727 4.263 3.549
S -7.752 -2.042 -0.546
S -4.080 2.860 0.188
S -5.376 -1.650 4.156
S -6.226 0.211 1.428
S -3.230 0.999 2.916
```

E_form (uncorrected) (eV/atom): -0.952



| no. | electronic total energy (eV/atom) | total magnetization (Bohr magnetons per cell) |
| --- | --- | --- |
| 1 | -4.13 | 0.9 |
| 2 | -6.13 | 1.6 |